1.
The following is a DFT calculation (PBE) of a relaxed structure of NdVBr.

abc: 4.0140 4.0706 12.3889
angles: 90.95 90.10 119.54
Sites, in units of the cell vectors:
Nd 0.0020 0.0021 0.1908
Nd 0.9980 0.9979 0.8092
V 0.3599 0.7197 0.9992
V 0.6401 0.2803 0.0008
Br 0.3364 0.6690 0.3483
Br 0.6636 0.3310 0.6517

Output
Symmetry: No. 2
E_form (uncorrected), meV/atom: -583

---

2.
The following is a DFT calculation (PBE) of a relaxed structure of NdYBr2.

abc: 10.3356 10.3356 10.3356
angles: 20.87 20.87 20.87
Sites, in units of the cell vectors:
Nd 0.0000 0.0000 0.0000
Y 0.5000 0.5000 0.5000
Br 0.4053 0.4053 0.4053
Br 0.5947 0.5947 0.5947

Output
Symmetry: No. 166
E_form (uncorrected), meV/atom: -1065
Distance to the lowest polymorph of the same formula, eV per formula unit: 0.00

---

3.
The following is a DFT calculation (PBE) of a relaxed structure of NdYBr5.

abc: 8.5047 4.0541 13.6845
angles: 90.00 94.28 90.00
Sites, in units of the cell vectors:
Nd 0.1017 0.2500 0.1524
Nd 0.8983 0.7500 0.8476
Y 0.4166 0.7500 0.3450
Y 0.5834 0.2500 0.6550
Br 0.0685 0.7500 0.3112
Br 0.1374 0.2500 0.9280
Br 0.3226 0.2500 0.4821
Br 0.3536 0.7500 0.1293
Br 0.3705 0.7500 0.7087
Br 0.6295 0.2500 0.2913
Br 0.6464 0.2500 0.8707
Br 0.6774 0.7500 0.5179
Br 0.8626 0.7500 0.0720
Br 0.9315 0.2500 0.6888

Output
Symmetry: No. 11
E_form (uncorrected), meV/atom: -1794

---

4.
The following is a DFT calculation (PBE) of a relaxed structure of NdYBr2.

abc: 9.5795 9.5795 9.5795
angles: 21.98 21.98 21.98
Sites, in units of the cell vectors:
Nd 0.0000 0.0000 0.0000
Y 0.8361 0.8361 0.8361
Br 0.2505 0.2505 0.2505
Br 0.4192 0.4192 0.4192

Output
Symmetry: No. 160
E_form (uncorrected), meV/atom: -1063
Distance to the lowest polymorph of the same formula, eV per formula unit: 0.01

---

5.
The following is a DFT calculation (PBE) of a relaxed structure of Nd2ZnBr.

abc: 8.9461 8.9461 8.9461
angles: 24.91 24.91 24.91
Sites, in units of the cell vectors:
Nd 0.0000 0.0000 0.0000
Nd 0.1755 0.1755 0.1755
Zn 0.5875 0.5875 0.5875
Br 0.7551 0.7551 0.7551

Output
Symmetry: No. 160
E_form (uncorrected), meV/atom: -702
Distance to the lowest polymorph of the same formula, eV per formula unit: 0.01

---

6.
The following is a DFT calculation (PBE) of a relaxed structure of NdZnBr.

abc: 11.8993 11.8993 11.8993
angles: 20.58 20.58 20.58
Sites, in units of the cell vectors:
Nd 0.0599 0.0599 0.0599
Nd 0.9401 0.9401 0.9401
Zn 0.3362 0.3362 0.3362
Zn 0.6638 0.6638 0.6638
Br 0.2211 0.2211 0.2211
Br 0.7789 0.7789 0.7789

Output
Symmetry: No. 166
E_form (uncorrected), meV/atom: -1017

---

7.
The following is a DFT calculation (PBE) of a relaxed structure of Nd2ZnBr.

abc: 3.5759 3.5759 8.2710
angles: 90.00 90.00 90.00
Sites, in units of the cell vectors:
Nd 0.0000 0.0000 0.2251
Nd 0.0000 0.0000 0.7749
Zn 0.5000 0.5000 0.0000
Br 0.5000 0.5000 0.5000

Output
Symmetry: No. 123
E_form (uncorrected), meV/atom: -665
Distance to the lowest polymorph of the same formula, eV per formula unit: 0.16

---

8.
The following is a DFT calculation (PBE) of a relaxed structure of NdZn3Br9.

abc: 10.6048 10.6048 13.6224
angles: 124.68 124.68 52.91
Sites, in units of the cell vectors:
Nd 0.2288 0.7712 0.5000
Nd 0.7712 0.2288 0.0000
Zn 0.0279 0.2630 0.8314
Zn 0.2630 0.0279 0.3314
Zn 0.2796 0.4326 0.6653
Zn 0.4326 0.2796 0.1653
Zn 0.6483 0.8097 0.2069
Zn 0.8097 0.6483 0.7069
Br 0.0802 0.2266 0.2173
Br 0.0946 0.9378 0.3264
Br 0.1663 0.4377 0.0330
Br 0.2266 0.0802 0.7173
Br 0.2982 0.6700 0.6923
Br 0.4001 0.4127 0.3728
Br 0.4127 0.4001 0.8728
Br 0.4377 0.1663 0.5330
Br 0.4598 0.7699 0.2254
Br 0.4861 0.9835 0.0746
Br 0.5376 0.7771 0.5576
Br 0.6700 0.2982 0.1923
Br 0.7699 0.4598 0.7254
Br 0.7771 0.5376 0.0576
Br 0.8660 0.8675 0.4146
Br 0.8675 0.8660 0.9146
Br 0.9378 0.0946 0.8264
Br 0.9835 0.4861 0.5746

Output
Symmetry: No. 9
E_form (uncorrected), meV/atom: -1138

---

9.
The following is a DFT calculation (PBE) of a relaxed structure of Nd2ZnBr.

abc: 7.9602 7.9602 7.9602
angles: 30.28 30.28 30.28
Sites, in units of the cell vectors:
Nd 0.2448 0.2448 0.2448
Nd 0.7552 0.7552 0.7552
Zn 0.5000 0.5000 0.5000
Br 0.0000 0.0000 0.0000

Output
Symmetry: No. 166
E_form (uncorrected), meV/atom: -704
Distance to the lowest polymorph of the same formula, eV per formula unit: 0.00

---

10.
The following is a DFT calculation (PBE) of a relaxed structure of Nd3ZnBr3.

abc: 5.9979 5.9979 5.9979
angles: 90.00 90.00 90.00
Sites, in units of the cell vectors:
Nd 0.0000 0.0000 0.5000
Nd 0.0000 0.5000 0.0000
Nd 0.5000 0.0000 0.0000
Zn 0.0000 0.0000 0.0000
Br 0.0000 0.5000 0.5000
Br 0.5000 0.0000 0.5000
Br 0.5000 0.5000 0.0000

Output
Symmetry: No. 221
E_form (uncorrected), meV/atom: -1204

---

11.
The following is a DFT calculation (PBE) of a relaxed structure of Nd2ZnBr2.

abc: 11.6221 11.6221 11.6221
angles: 20.33 20.33 20.33
Sites, in units of the cell vectors:
Nd 0.1102 0.1102 0.1102
Nd 0.8898 0.8898 0.8898
Zn 0.5000 0.5000 0.5000
Br 0.2782 0.2782 0.2782
Br 0.7218 0.7218 0.7218

Output
Symmetry: No. 166
E_form (uncorrected), meV/atom: -1088

---

12.
The following is a DFT calculation (PBE) of a relaxed structure of Ni4Br.

abc: 6.7467 6.7467 6.7467
angles: 151.13 151.13 41.29
Sites, in units of the cell vectors:
Ni 0.1119 0.1119 0.0000
Ni 0.2500 0.7500 0.5000
Ni 0.7500 0.2500 0.5000
Ni 0.8881 0.8881 0.0000
Br 0.5000 0.5000 0.0000

Output
Symmetry: No. 139
E_form (uncorrected), meV/atom: 490
Distance to the lowest polymorph of the same formula, eV per formula unit: 0.00